# BaSiP2 (PBE, optimized geometry)
data_BaSiP2
_chemical_formula_sum 'Ba3 Si3 P6'
_cell_length_a 3.8656
_cell_length_b 3.8656
_cell_length_c 20.8955
_cell_angle_alpha 90.00
_cell_angle_beta 90.00
_cell_angle_gamma 120.00
_space_group_name_H-M_alt 'R -3 m'
_space_group_IT_number 166
_space_group_name_Hall '-R 3 2"'
loop_
_atom_site_label
_atom_site_type_symbol
_atom_site_fract_x
_atom_site_fract_y
_atom_site_fract_z
Ba1 Ba 0.0000 0.0000 0.0000
Si1 Si 0.0000 0.0000 0.5000
P1 P 0.0000 0.0000 0.2232
# - energy relative to the elements, uncorrected (meV per atom) = -198
# - crystal system = trigonal
# - M_tot (μB per cell) = 0.00
# - V (Å³/cell) = 270.40